Record 1
VASP calculation (PBE) on crystalline Ac7CuI12 at its relaxed geometry.

Unit cell a=10.5063 b=10.5063 c=10.5063 alpha=108.13 beta=108.13 gamma=108.13
Fractional positions:
Ac 0.0000 0.0000 0.0000
Ac 0.1816 0.4594 0.3836
Ac 0.3836 0.1816 0.4594
Ac 0.4594 0.3836 0.1816
Ac 0.5406 0.6164 0.8184
Ac 0.6164 0.8184 0.5406
Ac 0.8184 0.5406 0.6164
Cu 0.5000 0.5000 0.5000
I 0.0124 0.1011 0.3408
I 0.1011 0.3408 0.0124
I 0.1847 0.5743 0.7225
I 0.2775 0.8153 0.4257
I 0.3408 0.0124 0.1011
I 0.4257 0.2775 0.8153
I 0.5743 0.7225 0.1847
I 0.6592 0.9876 0.8989
I 0.7225 0.1847 0.5743
I 0.8153 0.4257 0.2775
I 0.8989 0.6592 0.9876
I 0.9876 0.8989 0.6592

The value obtained for the electronic total energy is -3.815 eV/atom. The calculation puts the magnetic moment at 0.00 μB per formula unit.

***

Record 2
VASP calculation (PBE) on crystalline Ac4CuI5 at its relaxed geometry.

Unit cell a=10.5808 b=10.5808 c=9.6912 alpha=102.63 beta=102.63 gamma=24.02
Fractional positions:
Ac 0.0006 0.0006 0.2871
Ac 0.3480 0.3480 0.4203
Ac 0.6520 0.6520 0.5797
Ac 0.9994 0.9994 0.7129
Cu 0.5000 0.5000 0.5000
I 0.1672 0.1672 0.8508
I 0.1742 0.1742 0.3194
I 0.5000 0.5000 0.0000
I 0.8258 0.8258 0.6806
I 0.8328 0.8328 0.1492

The value obtained for the electronic total energy is -3.892 eV/atom. The calculation puts the magnetic moment at 0.00 μB per formula unit.

***

Record 3
VASP calculation (PBE) on crystalline Ac3CuI3 at its relaxed geometry.

Unit cell a=9.9002 b=4.3737 c=13.3281 alpha=90.00 beta=90.43 gamma=90.00
Fractional positions:
Ac 0.0917 0.2500 0.3845
Ac 0.1247 0.2500 0.8534
Ac 0.3275 0.7500 0.6247
Ac 0.6725 0.2500 0.3753
Ac 0.8753 0.7500 0.1466
Ac 0.9083 0.7500 0.6155
Cu 0.1212 0.2500 0.6262
Cu 0.8788 0.7500 0.3738
I 0.1403 0.2500 0.1164
I 0.3827 0.7500 0.3667
I 0.3845 0.7500 0.8784
I 0.6155 0.2500 0.1216
I 0.6173 0.2500 0.6333
I 0.8597 0.7500 0.8836

The value obtained for the electronic total energy is -3.922 eV/atom. The calculation puts the magnetic moment at 0.00 μB per formula unit.

***

Record 4
VASP calculation (PBE) on crystalline AcCuI6 at its relaxed geometry.

Unit cell a=5.6812 b=7.6341 c=7.8762 alpha=95.90 beta=100.61 gamma=93.85
Fractional positions:
Ac 0.0000 0.0000 0.0000
Cu 0.0000 0.5000 0.5000
I 0.1539 0.6736 0.2496
I 0.1830 0.2134 0.4176
I 0.4566 0.7491 0.9181
I 0.5434 0.2509 0.0819
I 0.8170 0.7866 0.5824
I 0.8461 0.3264 0.7504

The value obtained for the electronic total energy is -2.859 eV/atom. The calculation puts the magnetic moment at 0.00 μB per formula unit.

***

Record 5
VASP calculation (PBE) on crystalline AcCu2I8 at its relaxed geometry.

Unit cell a=8.7425 b=8.7425 c=8.7425 alpha=124.79 beta=124.79 gamma=81.88
Fractional positions:
Ac 0.0000 0.0000 0.0000
Cu 0.2500 0.7500 0.5000
Cu 0.7500 0.2500 0.5000
I 0.0581 0.5544 0.8448
I 0.2133 0.0581 0.5037
I 0.2904 0.4456 0.5037
I 0.4456 0.9419 0.1552
I 0.5544 0.7096 0.4963
I 0.7096 0.2133 0.1552
I 0.7867 0.2904 0.8448
I 0.9419 0.7867 0.4963

The value obtained for the electronic total energy is -2.761 eV/atom. The calculation puts the magnetic moment at 0.00 μB per formula unit.

***

Record 6
VASP calculation (PBE) on crystalline AcCuI at its relaxed geometry.

Unit cell a=6.3414 b=6.3414 c=6.3414 alpha=142.79 beta=142.79 gamma=53.64
Fractional positions:
Ac 0.0000 0.0000 0.0000
Cu 0.6214 0.6214 0.0000
I 0.3084 0.3084 0.0000

The value obtained for the electronic total energy is -3.636 eV/atom. The calculation puts the magnetic moment at 0.26 μB per formula unit.

***

Record 7
VASP calculation (PBE) on crystalline Ac8CuIr3I4 at its relaxed geometry.

Unit cell a=10.0384 b=10.0384 c=10.0384 alpha=52.33 beta=52.33 gamma=52.33
Fractional positions:
Ac 0.2183 0.7330 0.7330
Ac 0.2283 0.2283 0.2283
Ac 0.2670 0.2670 0.7817
Ac 0.2670 0.7817 0.2670
Ac 0.7330 0.2183 0.7330
Ac 0.7330 0.7330 0.2183
Ac 0.7717 0.7717 0.7717
Ac 0.7817 0.2670 0.2670
Cu 0.5000 0.5000 0.5000
Ir 0.0000 0.0000 0.5000
Ir 0.0000 0.5000 0.0000
Ir 0.5000 0.0000 0.0000
I 0.0000 0.0000 0.0000
I 0.0000 0.5000 0.5000
I 0.5000 0.0000 0.5000
I 0.5000 0.5000 0.0000

The value obtained for the electronic total energy is -5.319 eV/atom. The calculation puts the magnetic moment at 0.00 μB per formula unit.

***

Record 8
VASP calculation (PBE) on crystalline Ac6CuIr2I2 at its relaxed geometry.

Unit cell a=7.6783 b=7.6783 c=8.8582 alpha=98.01 beta=98.01 gamma=119.61
Fractional positions:
Ac 0.0943 0.4362 0.8130
Ac 0.2126 0.2126 0.1855
Ac 0.4362 0.0943 0.8130
Ac 0.5638 0.9057 0.1870
Ac 0.7874 0.7874 0.8145
Ac 0.9057 0.5638 0.1870
Cu 0.5000 0.5000 0.0000
Ir 0.1691 0.8309 0.0000
Ir 0.8309 0.1691 0.0000
I 0.3359 0.6641 0.5000
I 0.6641 0.3359 0.5000

The value obtained for the electronic total energy is -5.244 eV/atom. The calculation puts the magnetic moment at 0.00 μB per formula unit.

***

Q: Among the records above, which one has the highest electronic total energy?
A: AcCu2I8